Tb15Pr4Al: optimized geometry, PBE-GGA.

Structure (POSCAR):
```
Tb15Pr4Al
1.0
5.012 0.000 0.000
0.000 5.012 0.000
0.000 0.000 25.345
Tb Pr Al
15 4 1
Direct
0.500 0.500 0.000 Tb
0.500 0.500 0.192 Tb
0.500 0.500 0.398 Tb
0.500 0.500 0.602 Tb
0.500 0.500 0.808 Tb
0.500 0.000 0.092 Tb
0.500 0.000 0.296 Tb
0.500 0.000 0.500 Tb
0.500 0.000 0.704 Tb
0.500 0.000 0.908 Tb
0.000 0.500 0.092 Tb
0.000 0.500 0.296 Tb
0.000 0.500 0.500 Tb
0.000 0.500 0.704 Tb
0.000 0.500 0.908 Tb
0.000 0.000 0.195 Pr
0.000 0.000 0.398 Pr
0.000 0.000 0.602 Pr
0.000 0.000 0.805 Pr
0.000 0.000 0.000 Al
```

Calculated values
Calculated volume   636.6 Å³/cell
Magnetization   0.000 μB per atom
E_tot   -4.622 eV/atom

***

Tb6Pr12Al: optimized geometry, PBE-GGA.

Structure (POSCAR):
```
Tb6Pr12Al
1.0
-3.215 7.923 -1.478
-6.837 -1.581 5.104
4.142 3.211 6.916
Tb Pr Al
6 12 1
Direct
0.745 0.900 0.277 Tb
0.723 0.255 0.100 Tb
0.100 0.723 0.255 Tb
0.255 0.100 0.723 Tb
0.277 0.745 0.900 Tb
0.900 0.277 0.745 Tb
0.788 0.536 0.434 Pr
0.434 0.788 0.536 Pr
0.536 0.434 0.788 Pr
0.212 0.464 0.566 Pr
0.566 0.212 0.464 Pr
0.464 0.566 0.212 Pr
0.020 0.174 0.363 Pr
0.826 0.637 0.980 Pr
0.637 0.980 0.826 Pr
0.980 0.826 0.637 Pr
0.174 0.363 0.020 Pr
0.363 0.020 0.174 Pr
0.000 0.000 0.000 Al
```

Calculated values
Calculated volume   652.7 Å³/cell
Magnetization   0.000 μB per atom
E_tot   -4.599 eV/atom

***

Tb2Pr2Al: optimized geometry, PBE-GGA.

Structure (POSCAR):
```
Tb2Pr2Al
1.0
-0.669 3.383 1.005
-3.514 -0.545 -0.507
1.018 -4.975 11.009
Tb Pr Al
2 2 1
Direct
0.580 0.580 0.159 Tb
0.420 0.420 0.841 Tb
0.808 0.808 0.617 Pr
0.192 0.192 0.383 Pr
0.000 0.000 0.000 Al
```

Calculated values
Calculated volume   153.0 Å³/cell
Magnetization   0.000 μB per atom
ΔE to the lowest computed polymorph   0.0 meV/atom

***

- Which of these has the highest calculated volume?
  Tb6Pr12Al